(1)
This record from the Alexandria database describes crystalline Ba2Te2Pt at its relaxed geometry. The functional is PBE.

Properties
The value obtained for the raw formation energy is -4.63 eV per formula unit. The value obtained for the magnetic moment is 0.0 μB/cell. Its space group is P4/mbm (127).

Unit cell a=8.4234 b=8.4234 c=4.8226 alpha=90.00 beta=90.00 gamma=90.00
Last column: nearest neighbours and their distance in Å.
Atoms (fractional coordinates):
Ba1 0.1516 0.3484 0.0000  6 Te 3.24-3.61, 1 Ba 3.61
Ba2 0.3484 0.8484 0.0000  6 Te 3.24-3.61, 1 Ba 3.61
Ba3 0.6516 0.1516 0.0000  6 Te 3.24-3.61, 1 Ba 3.61
Ba4 0.8484 0.6516 0.0000  6 Te 3.24-3.61, 1 Ba 3.61
Te1 0.1672 0.6672 0.5000  2 Pt 3.14, 2 Ba 3.24
Te2 0.3328 0.1672 0.5000  2 Pt 3.14, 2 Ba 3.24
Te3 0.6672 0.8328 0.5000  2 Pt 3.14, 2 Ba 3.24
Te4 0.8328 0.3328 0.5000  2 Pt 3.14, 2 Ba 3.24
Pt1 0.0000 0.0000 0.5000  4 Te 3.14
Pt2 0.5000 0.5000 0.5000  4 Te 3.14


(2)
This record from the Alexandria database describes crystalline BaTe2Pt at its relaxed geometry. The functional is PBE.

Properties
The value obtained for the raw formation energy is -3.56 eV per formula unit. The value obtained for the magnetic moment is 0.0 μB/cell. Its space group is P2/m (10). As for the energy above the most stable polymorph in this dataset: 34 meV/atom.

Unit cell a=4.8968 b=4.1109 c=6.9089 alpha=90.00 beta=104.27 gamma=90.00
Last column: nearest neighbours and their distance in Å.
Atoms (fractional coordinates):
Ba1 0.0000 0.0000 0.0000  8 Te 3.63-3.75, 2 Pt 3.71
Te1 0.4227 0.5000 0.7259  2 Pt 2.66
Te2 0.5773 0.5000 0.2741  2 Pt 2.66
Pt1 0.5000 0.0000 0.5000  4 Te 2.66